5
Lattice="-0.9147 4.0636 4.2218 1.1274 -4.0710 4.1628 4.4900 1.1280 -0.1129" Properties=species:S:1:pos:R:3 comment="RbLiI2N | Alexandria via LeMat-Bulk | PBE | optimized geometry" magmom_total_mub_per_fu=3.01 vol_a3_per_cell=163 space_group="P4/mmm (123)" de_polymorph_mev_per_atom=0 crystal_system=tetragonal e_form_raw_ev_per_fu=-0.27 pbc="T T T"
I 0.5637 -2.0355 2.0814
I -0.4574 2.0318 2.1109
Li 0.0000 0.0000 0.0000
Rb 2.3513 0.5603 4.1359
N 2.2450 0.5640 -0.0565